The following is a DFT calculation (PBE) of a relaxed structure of Ce2PdRh2.

Unit cell a=3.810 b=14.979 c=3.670 alpha=90.00 beta=90.00 gamma=90.00
Sites, in units of the cell vectors:
Ce1 0.000 0.126 0.000
Ce2 0.000 0.874 0.000
Ce3 0.500 0.374 0.000
Ce4 0.500 0.626 0.000
Pd1 0.000 0.500 0.500
Pd2 0.500 0.000 0.500
Rh1 0.000 0.317 0.500
Rh2 0.000 0.683 0.500
Rh3 0.500 0.183 0.500
Rh4 0.500 0.817 0.500

Total magnetization: 0.47 μB/f.u.
Electronic total energy: -7.062 eV/atom
D(E_F): 15.4 states/eV/cell

The following is a DFT calculation (PBE) of a relaxed structure of MoAsP2.

Unit cell a=3.153 b=4.054 c=4.845 alpha=90.00 beta=90.00 gamma=90.00
Sites, in units of the cell vectors:
Mo1 0.000 0.000 0.000
As1 0.500 0.000 0.500
P1 0.000 0.500 0.500
P2 0.500 0.500 0.000

Total magnetization: 0.00 μB/f.u.
Electronic total energy: -6.110 eV/atom
D(E_F): 3.2 states/eV/cell

The following is a DFT calculation (PBE) of a relaxed structure of BeInAg2Hg.

Unit cell a=5.297 b=5.297 c=5.597 alpha=90.00 beta=90.00 gamma=90.00
Sites, in units of the cell vectors:
Be1 0.000 0.000 0.000
In1 0.500 0.500 0.500
Ag1 0.000 0.500 0.500
Ag2 0.500 0.000 0.500
Hg1 0.500 0.500 0.000

Total magnetization: 0.00 μB/f.u.
Electronic total energy: -1.472 eV/atom
D(E_F): 2.1 states/eV/cell

The following is a DFT calculation (PBE) of a relaxed structure of ScOsCl2.

Unit cell a=3.718 b=3.217 c=7.506 alpha=90.00 beta=104.10 gamma=90.00
Sites, in units of the cell vectors:
Sc1 0.000 0.000 0.000
Os1 0.577 0.500 0.156
Cl1 0.410 0.500 0.820
Cl2 0.706 0.000 0.421

Total magnetization: 0.01 μB/f.u.
D(E_F): 3.6 states/eV/cell
Uncorrected formation energy: -0.4439 eV per atom

The following is a DFT calculation (PBE) of a relaxed structure of In2BiSe2.

Unit cell a=4.887 b=4.887 c=12.385 alpha=90.00 beta=90.00 gamma=90.00
Sites, in units of the cell vectors:
In1 0.000 0.500 0.250
In2 0.000 0.500 0.750
In3 0.500 0.000 0.250
In4 0.500 0.000 0.750
Bi1 0.000 0.000 0.000
Bi2 0.500 0.500 0.500
Se1 0.000 0.000 0.364
Se2 0.000 0.000 0.636
Se3 0.500 0.500 0.136
Se4 0.500 0.500 0.864

Total magnetization: 0.70 μB/f.u.
D(E_F): 6.7 states/eV/cell
Uncorrected formation energy: 0.0971 eV per atom

The following is a DFT calculation (PBE) of a relaxed structure of LaHfBe3.

Unit cell a=4.634 b=4.634 c=4.634 alpha=90.00 beta=90.00 gamma=90.00
Sites, in units of the cell vectors:
La1 0.000 0.000 0.000
Hf1 0.500 0.500 0.500
Be1 0.000 0.000 0.500
Be2 0.000 0.500 0.000
Be3 0.500 0.000 0.000

Total magnetization: 0.22 μB/f.u.
Electronic total energy: -3.445 eV/atom
D(E_F): 5.0 states/eV/cell

The following is a DFT calculation (PBE) of a relaxed structure of PmTlGe.

Unit cell a=6.409 b=6.241 c=8.811 alpha=90.00 beta=110.95 gamma=90.00
Sites, in units of the cell vectors:
Pm1 0.170 0.000 0.340
Pm2 0.330 0.500 0.660
Pm3 0.670 0.500 0.340
Pm4 0.830 0.000 0.660
Tl1 0.241 0.500 0.000
Tl2 0.259 0.000 0.000
Tl3 0.741 0.000 0.000
Tl4 0.759 0.500 0.000
Ge1 0.152 0.500 0.306
Ge2 0.348 0.000 0.694
Ge3 0.652 0.000 0.306
Ge4 0.848 0.500 0.694

Total magnetization: 0.00 μB/f.u.
Electronic total energy: -4.292 eV/atom
D(E_F): 4.2 states/eV/cell

Question: The highest D(E_F) belongs to which entry?
Answer: Ce2PdRh2